{"formula": "InSnSb", "functional": "PBE-GGA", "state": "optimized geometry", "cell": [[3.067, 0.000, 0.000], [0.000, 3.199, 0.000], [-0.011, 0.000, 8.801]], "species": ["In", "Sn", "Sb"], "frac_coords": [[0.000, 0.000, 0.000], [0.991, 0.500, 0.327], [0.994, 0.500, 0.672]], "final_energy_ev_per_atom": -3.57, "formation_energy_uncorrected_mev_per_atom": 54.6, "sg": "No. 6", "e_above_lowest_polymorph_ev_per_atom": 0.057}

***

{"formula": "Cr2PtW", "functional": "PBE-GGA", "state": "optimized geometry", "cell": [[1.353, 0.781, 8.980], [-1.353, 0.781, 8.980], [0.000, -1.563, 8.980]], "species": ["Cr", "Cr", "Pt", "W"], "frac_coords": [[0.248, 0.248, 0.248], [0.752, 0.752, 0.752], [0.500, 0.500, 0.500], [0.000, 0.000, 0.000]], "final_energy_ev_per_atom": -9.30, "sg": "No. 166", "e_above_lowest_polymorph_ev_per_atom": 0.268, "formation_energy_ev_per_atom": 0.2595}